1.
The following is a DFT calculation (PBE) of a relaxed structure of InAgSn2Ge.

The structure belongs to space group P4/mmm (No. 123); the cell edges are 5.4371, 5.4371 and 5.2704 Å and the angles 90.00°, 90.00° and 90.00°. The distinct sites, in fractional coordinates, are In at (0.0000, 0.0000, 0.0000), Ag at (0.5000, 0.5000, 0.0000), Sn at (0.0000, 0.5000, 0.5000) and Ge at (0.0000, 0.0000, 0.5000).

For the formation energy, the calculation gives 0.57 eV per atom.


2.
The following is a DFT calculation (PBE) of a relaxed structure of CoSeBr2.

The structure belongs to space group Fm-3m (No. 225); the cell edges are 7.0229, 7.0229 and 7.0229 Å and the angles 90.00°, 90.00° and 90.00°. The distinct sites, in fractional coordinates, are Co at (0.0000, 0.0000, 0.0000), Se at (0.0000, 0.0000, 0.5000) and Br at (0.2500, 0.2500, 0.2500).

The uncorrected formation energy comes out at 0.8508 eV per atom.


3.
The following is a DFT calculation (PBE) of a relaxed structure of NaMoPd2Cl.

The structure belongs to space group P4/mmm (No. 123); the cell edges are 4.7194, 4.7194 and 4.7545 Å and the angles 90.00°, 90.00° and 90.00°. The distinct sites, in fractional coordinates, are Na at (0.0000, 0.0000, 0.0000), Mo at (0.5000, 0.5000, 0.0000), Pd at (0.0000, 0.5000, 0.5000) and Cl at (0.0000, 0.0000, 0.5000).

The uncorrected formation energy comes out at 0.7709 eV per atom.


4.
The following is a DFT calculation (PBE) of a relaxed structure of Mn2AlTe.

The structure belongs to space group I-42d (No. 122); the cell edges are 4.0675, 4.0675 and 17.8927 Å and the angles 90.00°, 90.00° and 90.00°. The distinct sites, in fractional coordinates, are Mn at (0.2379, 0.2500, 0.1250), Al at (0.0000, 0.0000, 0.0000) and Te at (0.0000, 0.0000, 0.5000).

For the offset from the most stable computed form, the calculation gives 1.175 eV per formula unit. The uncorrected formation energy comes out at 0.4063 eV per atom.


5.
The following is a DFT calculation (PBE) of a relaxed structure of Rb2LiMgBr5.

The structure belongs to space group Cmc2_1 (No. 36); the cell edges are 4.2548, 20.1621 and 14.0730 Å and the angles 90.00°, 90.00° and 90.00°. The distinct sites, in fractional coordinates, are Rb at (0.0000, 0.1139, 0.0000), Rb at (0.0000, 0.1277, 0.6229), Li at (0.0000, 0.4266, 0.7566), Mg at (0.0000, 0.2103, 0.3363), Br at (0.0000, 0.0779, 0.3547), Br at (0.0000, 0.2839, 0.9644), Br at (0.0000, 0.3034, 0.7029), Br at (0.0000, 0.3391, 0.3160) and Br at (0.0000, 0.4943, 0.6099).

The uncorrected formation energy comes out at -1.6068 eV per atom.


6.
The following is a DFT calculation (PBE) of a relaxed structure of CsSeN2.

The structure belongs to space group I-42d (No. 122); the cell edges are 6.1226, 6.1226 and 8.5242 Å and the angles 90.00°, 90.00° and 90.00°. The distinct sites, in fractional coordinates, are Cs at (0.0000, 0.0000, 0.0000), Se at (0.0000, 0.0000, 0.5000) and N at (0.0625, 0.2500, 0.6250).

For the offset from the most stable computed form, the calculation gives 4.990 eV per formula unit. The uncorrected formation energy comes out at 0.8120 eV per atom.


7.
The following is a DFT calculation (PBE) of a relaxed structure of Li3V2CrSe6.

The structure belongs to space group C2/m (No. 12); the cell edges are 6.4860, 10.9917 and 6.6427 Å and the angles 90.00°, 108.68° and 90.00°. The distinct sites, in fractional coordinates, are Li at (0.0000, 0.0000, 0.0000), Li at (0.0000, 0.3225, 0.0000), V at (0.0000, 0.1516, 0.5000), Cr at (0.0000, 0.5000, 0.5000), Se at (0.2366, 0.3327, 0.7220) and Se at (0.2454, 0.5000, 0.2623).

The uncorrected formation energy comes out at -0.8682 eV per atom.


8.
The following is a DFT calculation (PBE) of a relaxed structure of TiNb3Co.

The structure belongs to space group Pm-3m (No. 221); the cell edges are 4.6011, 4.6011 and 4.6011 Å and the angles 90.00°, 90.00° and 90.00°. The distinct sites, in fractional coordinates, are Ti at (0.0000, 0.0000, 0.0000), Nb at (0.0000, 0.5000, 0.5000) and Co at (0.5000, 0.5000, 0.5000).

For the offset from the most stable computed form, the calculation gives 0.000 eV per formula unit. For the formation energy, the calculation gives 0.68 eV per atom.


| no. | mass density (g cm⁻³) | M_tot (μB per cell) |
| --- | --- | --- |
| 1 | 5.7 | 0.00 |
| 2 | 5.7 | 4.01 |
| 3 | 5.8 | 4.85 |
| 4 | 5.9 | 24.69 |
| 5 | 3.3 | 0.00 |
| 6 | 5.0 | 0.00 |
| 7 | 4.8 | 14.00 |
| 8 | 6.6 | 0.00 |